Entry 1:
{"formula": "TiMn3P6O24", "functional": "SCAN", "state": "PBEsol geometry", "lattice_angstrom": [[4.0809, 2.3561, 7.1517], [-4.0809, 2.3561, 7.1517], [0.0000, -4.7122, 7.1517]], "species": ["Ti", "Mn", "Mn", "Mn", "P", "P", "P", "P", "P", "P", "O", "O", "O", "O", "O", "O", "O", "O", "O", "O", "O", "O", "O", "O", "O", "O", "O", "O", "O", "O", "O", "O", "O", "O"], "frac_coords": [[0.0000, 0.0000, 0.0000], [0.2175, 0.2175, 0.2175], [0.4978, 0.4978, 0.4978], [0.7134, 0.7134, 0.7134], [0.1093, 0.3925, 0.8225], [0.3385, 0.8912, 0.5962], [0.3925, 0.8225, 0.1093], [0.5962, 0.3385, 0.8912], [0.8225, 0.1093, 0.3925], [0.8912, 0.5962, 0.3385], [0.0998, 0.4541, 0.2563], [0.1307, 0.1959, 0.8387], [0.1613, 0.3649, 0.9843], [0.1827, 0.8716, 0.8066], [0.1959, 0.8387, 0.1307], [0.2528, 0.4782, 0.6148], [0.2563, 0.0998, 0.4541], [0.3649, 0.9843, 0.1613], [0.3684, 0.7379, 0.5322], [0.4541, 0.2563, 0.0998], [0.4782, 0.6148, 0.2528], [0.5322, 0.3684, 0.7379], [0.5380, 0.8753, 0.5735], [0.5465, 0.8454, 0.8953], [0.5735, 0.5380, 0.8753], [0.6148, 0.2528, 0.4782], [0.7379, 0.5322, 0.3684], [0.8066, 0.1827, 0.8716], [0.8387, 0.1307, 0.1959], [0.8454, 0.8953, 0.5465], [0.8716, 0.8066, 0.1827], [0.8753, 0.5735, 0.5380], [0.8953, 0.5465, 0.8454], [0.9843, 0.1613, 0.3649]], "formation_energy_uncorrected_ev_per_atom": -2.273, "e_tot_ev_per_atom": -10.59, "magnetic_moment_mub_per_fu": 6.8, "volume_a3_per_atom": 12.13}

=====

Entry 2:
{"formula": "FeCuS2", "functional": "SCAN", "state": "PBEsol geometry", "lattice_angstrom": [[1.6844, 0.9725, 5.7469], [-1.6844, 0.9725, 5.7469], [0.0000, -1.9450, 5.7469]], "species": ["Fe", "Cu", "S", "S"], "frac_coords": [[0.0000, 0.0000, 0.0000], [0.8556, 0.8556, 0.8556], [0.2629, 0.2629, 0.2629], [0.7305, 0.7305, 0.7305]], "formation_energy_uncorrected_ev_per_atom": -0.339, "e_tot_ev_per_atom": -13.48, "magnetic_moment_mub_per_fu": 1.0, "volume_a3_per_atom": 14.12}